Entry 1:
! PBE La6SiAs2Se3, optimized geometry; values from VASP
! - M_tot: 0.0 μB/cell
! - ΔE_f (raw): -1689 meV per atom
! - Theoretical density: 5.897 g/cm³
! - Space-group type: C2/m (12)
! - E_tot: -6.2503 eV per atom
&SYSTEM
  ibrav = 0, nat = 12, ntyp = 4
/
ATOMIC_SPECIES
La 138.91 La.upf
Si 28.09 Si.upf
As 74.92 As.upf
Se 78.96 Se.upf
ATOMIC_POSITIONS crystal
La 0.001 0.001 0.242
La 0.332 0.332 0.422
La 0.337 0.337 0.914
La 0.663 0.663 0.086
La 0.668 0.668 0.578
La 0.999 0.999 0.758
Si 0.500 0.500 0.000
As 0.167 0.167 0.335
As 0.833 0.833 0.665
Se 0.168 0.168 0.832
Se 0.500 0.500 0.500
Se 0.832 0.832 0.168
CELL_PARAMETERS angstrom
9.508 -2.179 0.000
9.508 2.179 0.000
-2.012 0.000 8.482

---

Entry 2:
! PBE LaSiAsSe2, optimized geometry; values from VASP
! - M_tot: 0.2 μB/cell
! - ΔE_f (raw): 437 meV per atom
! - Theoretical density: 3.625 g/cm³
! - Excess energy over the best structure of this formula in the dataset: 1054 meV per atom
! - Space-group type: P4/mmm (123)
! - E_tot: -3.9567 eV per atom
&SYSTEM
  ibrav = 0, nat = 5, ntyp = 4
/
ATOMIC_SPECIES
La 138.91 La.upf
Si 28.09 Si.upf
As 74.92 As.upf
Se 78.96 Se.upf
ATOMIC_POSITIONS crystal
La 0.000 0.000 0.000
Si 0.500 0.500 0.500
As 0.000 0.000 0.500
Se 0.000 0.500 0.000
Se 0.500 0.000 0.000
CELL_PARAMETERS angstrom
5.664 0.000 0.000
0.000 5.664 0.000
0.000 0.000 5.709

---

Entry 3:
! PBE LaSiAsSe2, optimized geometry; values from VASP
! - M_tot: 0.0 μB/cell
! - ΔE_f (raw): 150 meV per atom
! - Theoretical density: 4.590 g/cm³
! - Excess energy over the best structure of this formula in the dataset: 767 meV per atom
! - Space-group type: P4/mmm (123)
! - E_tot: -4.2435 eV per atom
&SYSTEM
  ibrav = 0, nat = 5, ntyp = 4
/
ATOMIC_SPECIES
La 138.91 La.upf
Si 28.09 Si.upf
As 74.92 As.upf
Se 78.96 Se.upf
ATOMIC_POSITIONS crystal
La 0.000 0.000 0.000
Si 0.500 0.500 0.000
As 0.000 0.000 0.500
Se 0.000 0.500 0.500
Se 0.500 0.000 0.500
CELL_PARAMETERS angstrom
5.024 0.000 0.000
0.000 5.024 0.000
0.000 0.000 5.731

---

Entry 4:
! PBE LaSiAs2Se, optimized geometry; values from VASP
! - M_tot: 0.0 μB/cell
! - ΔE_f (raw): -405 meV per atom
! - Theoretical density: 5.620 g/cm³
! - Excess energy over the best structure of this formula in the dataset: 0 meV per atom
! - Space-group type: P4/mmm (123)
! - E_tot: -5.0317 eV per atom
&SYSTEM
  ibrav = 0, nat = 5, ntyp = 4
/
ATOMIC_SPECIES
La 138.91 La.upf
Si 28.09 Si.upf
As 74.92 As.upf
Se 78.96 Se.upf
ATOMIC_POSITIONS crystal
La 0.000 0.000 0.000
Si 0.500 0.500 0.500
As 0.000 0.500 0.500
As 0.500 0.000 0.500
Se 0.500 0.500 0.000
CELL_PARAMETERS angstrom
4.822 0.000 0.000
0.000 4.822 0.000
0.000 0.000 5.030